This record from Alexandria describes CuNiW2 after structural relaxation. The functional is GGA-PBE. Values from VASP.

Quantum ESPRESSO input file:
```
&SYSTEM
  ibrav = 0, nat = 4, ntyp = 3
/
ATOMIC_SPECIES
Cu 63.55 Cu.upf
Ni 58.69 Ni.upf
W 183.84 W.upf
CELL_PARAMETERS angstrom
2.653 0.000 0.000
0.000 3.889 0.000
-0.018 0.000 5.341
ATOMIC_POSITIONS crystal
Cu 0.000 0.000 0.000
Ni 0.000 0.000 0.500
W 0.498 0.500 0.749
W 0.502 0.500 0.251
```

Results
total energy	-34.871	eV for the cell shown
spin magnetization	0.00	μB/cell
offset from the most stable computed form	87.7	meV/atom
crystal system	monoclinic
E_form	0.23	eV per atom



This record from Alexandria describes CuNiW4 after structural relaxation. The functional is GGA-PBE. Values from VASP.

Quantum ESPRESSO input file:
```
&SYSTEM
  ibrav = 0, nat = 6, ntyp = 3
/
ATOMIC_SPECIES
Cu 63.55 Cu.upf
Ni 58.69 Ni.upf
W 183.84 W.upf
CELL_PARAMETERS angstrom
0.000 3.676 3.676
3.676 0.000 3.676
3.676 3.676 0.000
ATOMIC_POSITIONS crystal
Cu 0.000 0.000 0.000
Ni 0.750 0.750 0.750
W 0.375 0.375 0.375
W 0.375 0.375 0.876
W 0.375 0.876 0.375
W 0.876 0.375 0.375
```

Results
total energy	-56.889	eV for the cell shown
spin magnetization	0.00	μB/cell
crystal system	cubic
E_form	0.80	eV per atom



This record from Alexandria describes Cu3NiW after structural relaxation. The functional is GGA-PBE. Values from VASP.

Quantum ESPRESSO input file:
```
&SYSTEM
  ibrav = 0, nat = 5, ntyp = 3
/
ATOMIC_SPECIES
Cu 63.55 Cu.upf
Ni 58.69 Ni.upf
W 183.84 W.upf
CELL_PARAMETERS angstrom
4.647 0.000 0.000
0.000 4.647 0.000
0.000 0.000 4.647
ATOMIC_POSITIONS crystal
Cu 0.000 0.000 0.500
Cu 0.000 0.500 0.000
Cu 0.500 0.000 0.000
Ni 0.500 0.500 0.500
W 0.000 0.000 0.000
```

Results
total energy	-21.414	eV for the cell shown
spin magnetization	0.60	μB/cell
offset from the most stable computed form	530.6	meV/atom
crystal system	cubic
E_form	1.92	eV per atom